Record 1
This record from the Alexandria database describes a relaxed structure of ReTc2H. The functional is GGA-PBE.

Lattice parameters (Å, degrees): 6.9014 6.9014 6.9014 23.49 23.49 23.49
Last column: nearest neighbours and their distance in Å.
Sites, in units of the cell vectors:
Re1 0.0000 0.0000 0.0000  6 Tc 2.73, 6 Re 2.81
Tc1 0.2241 0.2241 0.2241  3 H 1.99
Tc2 0.7759 0.7759 0.7759  3 H 1.99
H1 0.5000 0.5000 0.5000  6 Tc 1.99

Computed properties:
raw total energy: -9.17 eV/atom
DOS(E_F): 2.318 states/eV/cell
total magnetization: 0.000 μB per formula unit
E above lowest polymorph: 0.001 eV/atom
crystal system: trigonal


Record 2
This record from the Alexandria database describes a relaxed structure of ReTcH3. The functional is GGA-PBE.

Lattice parameters (Å, degrees): 3.4572 3.4572 3.4572 90.00 90.00 90.00
Last column: nearest neighbours and their distance in Å.
Sites, in units of the cell vectors:
Re1 0.0000 0.0000 0.0000  6 H 1.73
Tc1 0.5000 0.5000 0.5000  12 H 2.44
H1 0.0000 0.0000 0.5000  2 Re 1.73
H2 0.0000 0.5000 0.0000  2 Re 1.73
H3 0.5000 0.0000 0.0000  2 Re 1.73

Computed properties:
raw total energy: -5.89 eV/atom
DOS(E_F): 2.941 states/eV/cell
total magnetization: 2.246 μB per formula unit
E above lowest polymorph: 0.000 eV/atom
crystal system: cubic


Record 3
This record from the Alexandria database describes a relaxed structure of Ti2ReTcH. The functional is GGA-PBE.

Lattice parameters (Å, degrees): 4.3800 4.3800 3.3084 90.00 90.00 90.00
Last column: nearest neighbours and their distance in Å.
Sites, in units of the cell vectors:
Ti1 0.0000 0.5000 0.0000  2 H 2.19
Ti2 0.5000 0.0000 0.0000  2 H 2.19
Re1 0.0000 0.0000 0.5000  8 Ti 2.74
Tc1 0.5000 0.5000 0.5000  2 H 1.65
H1 0.5000 0.5000 0.0000  2 Tc 1.65

Computed properties:
raw total energy: -8.71 eV/atom
DOS(E_F): 3.483 states/eV/cell
total magnetization: 0.000 μB per formula unit
crystal system: tetragonal


Record 4
This record from the Alexandria database describes a relaxed structure of Re2TeH. The functional is GGA-PBE.

Lattice parameters (Å, degrees): 6.2158 6.2158 6.2158 133.61 133.61 67.70
Last column: nearest neighbours and their distance in Å.
Sites, in units of the cell vectors:
Re1 0.3750 0.2184 0.3434  2 H 1.84
Re2 0.7816 0.1250 0.1566  2 H 1.84
Re3 0.8750 0.0316 0.6566  2 H 1.84
Re4 0.9684 0.6250 0.8434  2 H 1.84
Te1 0.2500 0.7500 0.5000  4 Re 2.67
Te2 0.5000 0.5000 0.0000  4 Re 2.67
H1 0.0000 0.0000 0.0000  4 Re 1.84
H2 0.7500 0.2500 0.5000  4 Re 1.84

Computed properties:
raw total energy: -7.14 eV/atom
DOS(E_F): 7.017 states/eV/cell
total magnetization: 0.000 μB per formula unit
E above lowest polymorph: 0.000 eV/atom
crystal system: tetragonal